Entry 1:
Here is a relaxed structure of DyZnNO from OQMD. Energies are from PBE.

Cell: 4.7838 4.7838 4.4085 Å, 90.00 90.00 90.00°
With the nearest neighbours (Å) after each atom.
Fractional coordinates of all 8 atoms:
Dy  0.2500  0.7500  0.0000  2 O 2.20, 4 N 2.39
Dy  0.7500  0.2500  0.0000  2 O 2.20, 4 N 2.39
Zn  0.2500  0.2500  0.4994  2 N 2.20-2.21, 4 O 2.39
Zn  0.7500  0.7500  0.5006  2 N 2.20-2.21, 4 O 2.39
N  0.2500  0.2500  0.0014  2 Zn 2.20-2.21, 4 Dy 2.39
N  0.7500  0.7500  0.9986  2 Zn 2.20-2.21, 4 Dy 2.39
O  0.2500  0.7500  0.5000  2 Dy 2.20, 4 Zn 2.39
O  0.7500  0.2500  0.5000  2 Dy 2.20, 4 Zn 2.39

## Properties
E_tot (eV per atom): -6.303
Space-group type: P4/nmm


Entry 2:
Here is a relaxed structure of LaSmAsO from OQMD. Energies are from PBE.

Cell: 4.4610 4.4610 9.3455 Å, 90.00 90.00 90.00°
With the nearest neighbours (Å) after each atom.
Fractional coordinates of all 8 atoms:
La  0.2500  0.2500  0.1081  4 O 2.45
La  0.7500  0.7500  0.8919  4 O 2.45
Sm  0.2500  0.7500  0.5000  4 As 2.92, 4 Sm 3.15
Sm  0.7500  0.2500  0.5000  4 As 2.92, 4 Sm 3.15
As  0.2500  0.2500  0.7014  4 Sm 2.92
As  0.7500  0.7500  0.2986  4 Sm 2.92
O  0.2500  0.7500  0.0000  4 La 2.45
O  0.7500  0.2500  0.0000  4 La 2.45

## Properties
E_tot (eV per atom): -6.770
Space-group type: P4/nmm


Entry 3:
Here is a relaxed structure of SrLiPd from OQMD. Energies are from PBE.

Cell: 6.5926 6.5926 6.5926 Å, 90.00 90.00 90.00°
With the nearest neighbours (Å) after each atom.
Fractional coordinates of all 12 atoms:
Sr  0.0000  0.0000  0.0000  4 Li 2.85
Sr  0.0000  0.5000  0.5000  4 Li 2.85
Sr  0.5000  0.0000  0.5000  4 Li 2.85
Sr  0.5000  0.5000  0.0000  4 Li 2.85
Li  0.2500  0.2500  0.7500  4 Sr 2.85, 4 Pd 2.85
Li  0.2500  0.7500  0.2500  4 Sr 2.85, 4 Pd 2.85
Li  0.7500  0.2500  0.2500  4 Sr 2.85, 4 Pd 2.85
Li  0.7500  0.7500  0.7500  4 Sr 2.85, 4 Pd 2.85
Pd  0.0000  0.0000  0.5000  4 Li 2.85
Pd  0.0000  0.5000  0.0000  4 Li 2.85
Pd  0.5000  0.0000  0.0000  4 Li 2.85
Pd  0.5000  0.5000  0.5000  4 Li 2.85

## Properties
E_tot (eV per atom): -3.093
Space-group type: F-43m


Entry 4:
Here is a relaxed structure of Ho3Zn3IrAu2 from OQMD. Energies are from PBE.

Cell: 7.2757 7.2757 3.9786 Å, 90.00 90.00 120.00°
With the nearest neighbours (Å) after each atom.
Fractional coordinates of all 9 atoms:
Ho  0.0000  0.6082  0.0000  1 Ir 2.85, 4 Au 3.00, 4 Zn 3.19
Ho  0.3918  0.3918  0.0000  1 Ir 2.85, 4 Au 3.00, 4 Zn 3.19
Ho  0.6082  0.0000  0.0000  1 Ir 2.85, 4 Au 3.00, 4 Zn 3.19
Zn  0.0000  0.2414  0.5000  2 Ir 2.65, 2 Au 2.82
Zn  0.2414  0.0000  0.5000  2 Ir 2.65, 2 Au 2.82
Zn  0.7586  0.7586  0.5000  2 Ir 2.65, 2 Au 2.82
Ir  0.0000  0.0000  0.0000  6 Zn 2.65, 3 Ho 2.85
Au  0.3333  0.6667  0.5000  3 Zn 2.82, 6 Ho 3.00
Au  0.6667  0.3333  0.5000  3 Zn 2.82, 6 Ho 3.00

## Properties
Space-group type: P-62m
E_form (eV per atom): -0.69


Entry 5:
Here is a relaxed structure of Dy4YAg5 from OQMD. Energies are from PBE.

Cell: 3.6197 3.6197 18.1621 Å, 90.00 90.00 90.00°
With the nearest neighbours (Å) after each atom.
Fractional coordinates of all 10 atoms:
Dy  0.0000  0.0000  0.0999  8 Ag 3.14
Dy  0.0000  0.0000  0.2997  8 Ag 3.13-3.14
Dy  0.0000  0.0000  0.7003  8 Ag 3.13-3.14
Dy  0.0000  0.0000  0.9001  8 Ag 3.14
Y  0.0000  0.0000  0.5000  8 Ag 3.15
Ag  0.5000  0.5000  0.0000  8 Dy 3.14
Ag  0.5000  0.5000  0.1999  8 Dy 3.14
Ag  0.5000  0.5000  0.3991  4 Dy 3.13, 4 Y 3.15
Ag  0.5000  0.5000  0.6009  4 Dy 3.13, 4 Y 3.15
Ag  0.5000  0.5000  0.8001  8 Dy 3.14

## Properties
Space-group type: P4/mmm
E_form (eV per atom): -0.34


Entry 6:
Here is a relaxed structure of TaCdB from OQMD. Energies are from PBE.

Cell: 5.9575 5.9575 5.9575 Å, 90.00 90.00 90.00°
With the nearest neighbours (Å) after each atom.
Fractional coordinates of all 12 atoms:
Ta  0.0000  0.0000  0.0000  4 Cd 2.58
Ta  0.0000  0.5000  0.5000  4 Cd 2.58
Ta  0.5000  0.0000  0.5000  4 Cd 2.58
Ta  0.5000  0.5000  0.0000  4 Cd 2.58
Cd  0.2500  0.2500  0.7500  4 Ta 2.58, 4 B 2.58
Cd  0.2500  0.7500  0.2500  4 Ta 2.58, 4 B 2.58
Cd  0.7500  0.2500  0.2500  4 Ta 2.58, 4 B 2.58
Cd  0.7500  0.7500  0.7500  4 Ta 2.58, 4 B 2.58
B  0.0000  0.0000  0.5000  4 Cd 2.58
B  0.0000  0.5000  0.0000  4 Cd 2.58
B  0.5000  0.0000  0.0000  4 Cd 2.58
B  0.5000  0.5000  0.5000  4 Cd 2.58

## Properties
E_tot (eV per atom): -4.606
Space-group type: F-43m


Entry 7:
Here is a relaxed structure of Ga2FeSeS3 from OQMD. Energies are from PBE.

Cell: 5.4354 5.4789 6.4134 Å, 114.19 114.23 90.87°
With the nearest neighbours (Å) after each atom.
Fractional coordinates of all 7 atoms:
Ga  0.0000  0.0000  0.0000  3 S 2.31-2.32, 1 Se 2.43
Ga  0.2544  0.7624  0.5060  3 S 2.32-2.33, 1 Se 2.44
Fe  0.7675  0.2555  0.5111  3 S 2.31, 1 Se 2.45
Se  0.3906  0.3882  0.2346  2 Ga 2.43-2.44, 1 Fe 2.45
S  0.1335  0.6331  0.7594  1 Fe 2.31, 2 Ga 2.32
S  0.6317  0.1332  0.7586  1 Fe 2.31, 2 Ga 2.32-2.33
S  0.8769  0.8798  0.2549  2 Ga 2.31-2.32, 1 Fe 2.31

## Properties
E_tot (eV per atom): -4.841
Space-group type: P1


Entry 8:
Here is a relaxed structure of AlZn from OQMD. Energies are from PBE.

Cell: 4.6659 5.6109 9.6734 Å, 90.00 90.00 90.00°
With the nearest neighbours (Å) after each atom.
Fractional coordinates of all 16 atoms:
Al  0.2500  0.9999  0.0830  8 Al 2.80-2.85, 4 Zn 2.83-2.85
Al  0.2500  0.2500  0.3369  10 Zn 2.76-2.83, 2 Al 2.83
Al  0.2500  0.2500  0.8291  6 Zn 2.76-2.84, 6 Al 2.83-2.85
Al  0.2500  0.5001  0.0830  8 Al 2.80-2.85, 4 Zn 2.83-2.85
Al  0.7500  0.0001  0.9170  8 Al 2.80-2.85, 4 Zn 2.83-2.85
Al  0.7500  0.4999  0.9170  8 Al 2.80-2.85, 4 Zn 2.83-2.85
Al  0.7500  0.7500  0.1709  6 Zn 2.76-2.84, 6 Al 2.83-2.85
Al  0.7500  0.7500  0.6631  10 Zn 2.76-2.83, 2 Al 2.83
Zn  0.2500  0.0005  0.5829  8 Zn 2.76-2.83, 4 Al 2.76-2.83
Zn  0.2500  0.4995  0.5829  8 Zn 2.76-2.83, 4 Al 2.76-2.83
Zn  0.2500  0.7500  0.3378  6 Zn 2.76-2.83, 6 Al 2.81-2.84
Zn  0.2500  0.7500  0.8289  2 Zn 2.76, 10 Al 2.81-2.85
Zn  0.7500  0.2500  0.1711  2 Zn 2.76, 10 Al 2.81-2.85
Zn  0.7500  0.2500  0.6622  6 Zn 2.76-2.83, 6 Al 2.81-2.84
Zn  0.7500  0.5005  0.4171  8 Zn 2.76-2.83, 4 Al 2.76-2.83
Zn  0.7500  0.9995  0.4171  8 Zn 2.76-2.83, 4 Al 2.76-2.83

## Properties
E_tot (eV per atom): -2.444
Space-group type: Pmmn


Entry 9:
Here is a relaxed structure of Al2AgGe from OQMD. Energies are from PBE.

Cell: 6.6318 6.6318 6.6318 Å, 90.00 90.00 90.00°
With the nearest neighbours (Å) after each atom.
Fractional coordinates of all 16 atoms:
Al  0.0000  0.0000  0.0000  4 Al 2.87, 4 Ag 2.87
Al  0.0000  0.5000  0.5000  4 Al 2.87, 4 Ag 2.87
Al  0.2500  0.2500  0.2500  4 Ge 2.87, 4 Al 2.87
Al  0.2500  0.7500  0.7500  4 Ge 2.87, 4 Al 2.87
Al  0.5000  0.0000  0.5000  4 Al 2.87, 4 Ag 2.87
Al  0.5000  0.5000  0.0000  4 Al 2.87, 4 Ag 2.87
Al  0.7500  0.2500  0.7500  4 Ge 2.87, 4 Al 2.87
Al  0.7500  0.7500  0.2500  4 Ge 2.87, 4 Al 2.87
Ag  0.2500  0.2500  0.7500  4 Ge 2.87, 4 Al 2.87
Ag  0.2500  0.7500  0.2500  4 Ge 2.87, 4 Al 2.87
Ag  0.7500  0.2500  0.2500  4 Ge 2.87, 4 Al 2.87
Ag  0.7500  0.7500  0.7500  4 Ge 2.87, 4 Al 2.87
Ge  0.0000  0.0000  0.5000  4 Ag 2.87, 4 Al 2.87
Ge  0.0000  0.5000  0.0000  4 Al 2.87, 4 Ag 2.87
Ge  0.5000  0.0000  0.0000  4 Al 2.87, 4 Ag 2.87
Ge  0.5000  0.5000  0.5000  4 Ag 2.87, 4 Al 2.87

## Properties
E_tot (eV per atom): -3.530
Space-group type: F-43m


Entry 10:
Here is a relaxed structure of BaNdAsO from OQMD. Energies are from PBE.

Cell: 4.5600 4.5600 9.7533 Å, 90.00 90.00 90.00°
With the nearest neighbours (Å) after each atom.
Fractional coordinates of all 8 atoms:
Ba  0.2500  0.7500  0.0000  4 As 3.18, 4 Ba 3.22
Ba  0.7500  0.2500  0.0000  4 As 3.18, 4 Ba 3.22
Nd  0.2500  0.2500  0.4111  4 O 2.44
Nd  0.7500  0.7500  0.5889  4 O 2.44
As  0.2500  0.2500  0.7727  4 Ba 3.18, 4 O 3.50, 1 Nd 3.53
As  0.7500  0.7500  0.2273  4 Ba 3.18, 4 O 3.50, 1 Nd 3.53
O  0.2500  0.7500  0.5000  4 Nd 2.44
O  0.7500  0.2500  0.5000  4 Nd 2.44

## Properties
E_tot (eV per atom): -5.667
Space-group type: P4/nmm


| no. | mass density (Mg/m³) |
| --- | --- |
| 1 | 8.490 |
| 2 | 6.789 |
| 3 | 4.659 |
| 4 | 11.627 |
| 5 | 8.920 |
| 6 | 9.555 |
| 7 | 3.969 |
| 8 | 4.846 |
| 9 | 5.339 |
| 10 | 6.100 |